#one
A geometry-optimized PPbW2 structure, computed with PBE-GGA.

Geometry as POSCAR:
```
PPbW2
1.0
-0.5568 2.7617 -1.2495
-1.4898 -0.4190 2.6652
6.4175 3.1402 4.0809
P Pb W
1 1 2
Direct
0.5000 0.5000 0.5000 P
0.5000 0.5000 0.0000 Pb
0.0000 0.0000 0.3052 W
0.0000 0.0000 0.6948 W
```

Values from the calculation:
Symmetry: Cmmm (65)
Spin magnetization (μB per cell): 0.00
Volume (Å³/cell): 72



#two
A geometry-optimized PPbW2 structure, computed with PBE-GGA.

Geometry as POSCAR:
```
PPbW2
1.0
7.1005 -1.7612 -0.0100
7.1005 1.7612 -0.0100
6.6680 0.0000 3.0096
P Pb W
1 1 2
Direct
0.5000 0.5000 0.5000 P
0.0000 0.0000 0.0000 Pb
0.2225 0.2225 0.2225 W
0.7775 0.7775 0.7775 W
```

Values from the calculation:
Symmetry: R-3m (166)
Spin magnetization (μB per cell): 0.00
Volume (Å³/cell): 76



#three
A geometry-optimized PPbW2 structure, computed with PBE-GGA.

Geometry as POSCAR:
```
PPbW2
1.0
-3.2224 -0.7097 -4.2408
-2.2052 -0.7806 4.8373
-2.4957 2.2327 0.2971
P Pb W
1 1 2
Direct
0.0000 0.0000 0.5000 P
0.5000 0.5000 0.5000 Pb
0.0000 0.5000 0.0000 W
0.5000 0.0000 0.0000 W
```

Values from the calculation:
Symmetry: C2/m (12)
Spin magnetization (μB per cell): 0.00
Volume (Å³/cell): 73



#four
A geometry-optimized PPbW2 structure, computed with PBE-GGA.

Geometry as POSCAR:
```
PPbW2
1.0
0.0000 3.2810 3.2810
3.2810 0.0000 3.2810
3.2810 3.2810 0.0000
P Pb W
1 1 2
Direct
0.5000 0.5000 0.5000 P
0.2500 0.2500 0.2500 Pb
0.0000 0.0000 0.0000 W
0.7500 0.7500 0.7500 W
```

Values from the calculation:
Symmetry: F-43m (216)
Spin magnetization (μB per cell): 0.00
Volume (Å³/cell): 71



Short version: #two, #one, #four, #three, most stable first.



#one
A geometry-optimized PPbW structure, computed with PBE-GGA.

Geometry as POSCAR:
```
PPbW
1.0
0.0000 2.4415 7.6291
1.7676 0.0000 7.6291
1.7676 2.4415 0.0000
P Pb W
1 1 1
Direct
0.0406 0.0406 0.9594 P
0.3118 0.3118 0.6882 Pb
0.6476 0.6476 0.3524 W
```

Values from the calculation:
Symmetry: Fmm2 (42)
Spin magnetization (μB per cell): 0.00
Volume (Å³/cell): 66



#two
A geometry-optimized PPbW structure, computed with PBE-GGA.

Geometry as POSCAR:
```
PPbW
1.0
-0.3407 2.3343 3.7508
-3.7596 -0.1073 2.3425
-0.1177 -2.0883 3.9062
P Pb W
1 1 1
Direct
0.2500 0.2500 0.2500 P
0.0000 0.0000 0.0000 Pb
0.5000 0.5000 0.5000 W
```

Values from the calculation:
Symmetry: F-43m (216)
Spin magnetization (μB per cell): 0.00
Volume (Å³/cell): 62



Short version: #one, #two, most stable first.



#one
A geometry-optimized P4PbW structure, computed with PBE-GGA.

Geometry as POSCAR:
```
P4PbW
1.0
6.8921 -0.0423 0.0000
-0.5133 6.8731 0.0000
-3.1894 -3.4154 5.0661
Pb P W
2 8 2
Direct
0.3750 0.6250 0.7500 Pb
0.6250 0.3750 0.2500 Pb
0.0317 0.8359 0.8315 P
0.5045 0.2003 0.6685 P
0.8359 0.5045 0.8042 P
0.2003 0.0317 0.6958 P
0.9683 0.1641 0.1685 P
0.4955 0.7997 0.3315 P
0.1641 0.4955 0.1958 P
0.7997 0.9683 0.3042 P
0.8750 0.1250 0.7500 W
0.1250 0.8750 0.2500 W
```

Values from the calculation:
Symmetry: I4_1/a (88)
Spin magnetization (μB per cell): 0.00
Volume (Å³/cell): 240



#two
A geometry-optimized P4PbW structure, computed with PBE-GGA.

Geometry as POSCAR:
```
P4PbW
1.0
7.7872 -0.1480 -0.9408
2.3397 7.3784 0.3144
-5.6348 -3.2613 4.6650
Pb P W
2 8 2
Direct
0.8813 0.5886 0.2396 Pb
0.1187 0.4114 0.7604 Pb
0.0512 0.1435 0.2245 P
0.5544 0.8589 0.3816 P
0.6855 0.9720 0.1814 P
0.2899 0.4813 0.2769 P
0.9488 0.8565 0.7755 P
0.4456 0.1411 0.6184 P
0.3145 0.0280 0.8186 P
0.7101 0.5187 0.7231 P
0.4090 0.1346 0.2591 W
0.5910 0.8654 0.7409 W
```

Values from the calculation:
Symmetry: P-1 (2)
Spin magnetization (μB per cell): 0.00
Volume (Å³/cell): 246



Short version: #two, #one, most stable first.



#one
A geometry-optimized P3PbW structure, computed with PBE-GGA.

Geometry as POSCAR:
```
P3PbW
1.0
4.7771 0.0000 0.0000
0.0000 4.7771 0.0000
0.0000 0.0000 4.7771
Pb P W
1 3 1
Direct
0.5000 0.5000 0.5000 Pb
0.0000 0.5000 0.0000 P
0.0000 0.0000 0.5000 P
0.5000 0.0000 0.0000 P
0.0000 0.0000 0.0000 W
```

Values from the calculation:
Symmetry: Pm-3m (221)
Spin magnetization (μB per cell): 0.00
Volume (Å³/cell): 109



#two
A geometry-optimized P3PbW structure, computed with PBE-GGA.

Geometry as POSCAR:
```
P3PbW
1.0
4.9467 0.0000 0.0000
0.0000 4.9467 0.0000
0.0000 0.0000 4.9467
Pb P W
1 3 1
Direct
0.0000 0.0000 0.0000 Pb
0.0000 0.5000 0.0000 P
0.0000 0.0000 0.5000 P
0.5000 0.0000 0.0000 P
0.5000 0.5000 0.5000 W
```

Values from the calculation:
Symmetry: Pm-3m (221)
Spin magnetization (μB per cell): 0.00
Volume (Å³/cell): 121



Short version: #one, #two, most stable first.



#one
A geometry-optimized PPbW3 structure, computed with PBE-GGA.

Geometry as POSCAR:
```
PPbW3
1.0
-0.3741 4.8525 -1.1786
-2.6203 -1.1969 -4.0960
-4.2508 0.3107 2.6285
Pb P W
1 1 3
Direct
0.0000 0.0000 0.0000 Pb
0.5000 0.5000 0.5000 P
0.0000 0.5000 0.0000 W
0.0000 0.0000 0.5000 W
0.5000 0.0000 0.0000 W
```

Values from the calculation:
Symmetry: Pm-3m (221)
Spin magnetization (μB per cell): 0.00
Volume (Å³/cell): 126



#two
A geometry-optimized PPbW3 structure, computed with PBE-GGA.

Geometry as POSCAR:
```
PPbW3
1.0
-2.9727 -2.9157 -1.7897
1.5727 -3.2702 2.7154
-3.0382 1.1600 3.1568
Pb P W
1 1 3
Direct
0.5000 0.5000 0.5000 Pb
0.0000 0.0000 0.0000 P
0.0000 0.5000 0.0000 W
0.0000 0.0000 0.5000 W
0.5000 0.0000 0.0000 W
```

Values from the calculation:
Symmetry: Pm-3m (221)
Spin magnetization (μB per cell): 0.00
Volume (Å³/cell): 93



Short version: #two, #one, most stable first.



#one
A geometry-optimized PPb3W structure, computed with PBE-GGA.

Geometry as POSCAR:
```
PPb3W
1.0
-2.3784 -2.2773 -4.0780
4.6184 -0.4632 -2.4349
0.6975 -4.6981 2.2167
Pb P W
3 1 1
Direct
0.0000 0.5000 0.0000 Pb
0.0000 0.0000 0.5000 Pb
0.5000 0.0000 0.0000 Pb
0.0000 0.0000 0.0000 P
0.5000 0.5000 0.5000 W
```

Values from the calculation:
Symmetry: Pm-3m (221)
Spin magnetization (μB per cell): 0.00
Volume (Å³/cell): 144



#two
A geometry-optimized PPb3W structure, computed with PBE-GGA.

Geometry as POSCAR:
```
PPb3W
1.0
5.4106 0.0000 0.0000
0.0000 5.4106 0.0000
0.0000 0.0000 5.4106
Pb P W
3 1 1
Direct
0.0000 0.5000 0.0000 Pb
0.0000 0.0000 0.5000 Pb
0.5000 0.0000 0.0000 Pb
0.5000 0.5000 0.5000 P
0.0000 0.0000 0.0000 W
```

Values from the calculation:
Symmetry: Pm-3m (221)
Spin magnetization (μB per cell): 3.00
Volume (Å³/cell): 158



Short version: #two, #one, most stable first.